No. 1
The following is a DFT calculation (GGA+U) of a geometry-optimized KMn4F8 structure.

## Properties
Volume   485.74 Å³/cell
Magnetization   20.52 μB per formula unit
Mass density   2.8 Mg/m³
VASP energy   -5.867 eV per atom

```
data_KMn4F8
_cell_length_a 6.3948
_cell_length_b 6.3948
_cell_length_c 13.7158
_cell_angle_alpha 90.00
_cell_angle_beta 90.00
_cell_angle_gamma 120.00
_space_group_name_H-M_alt 'P 63/m m c'
_space_group_IT_number 194
_space_group_name_Hall '-P 6c 2c'
loop_
_atom_site_label
_atom_site_type_symbol
_atom_site_fract_x
_atom_site_fract_y
_atom_site_fract_z
K1 K 0.0000 0.0000 0.0000
Mn1 Mn 0.0000 0.0000 0.2500
Mn2 Mn 0.0019 0.5009 0.2500
F1 F 0.1607 0.3214 0.1582
F2 F 0.3333 0.6667 0.6606
```

No. 2
The following is a DFT calculation (GGA+U) of a geometry-optimized K4Mn3F10 structure.

## Properties
Volume   550.73 Å³/cell
Magnetization   15.00 μB per formula unit
Mass density   3.1 Mg/m³
VASP energy   -5.447 eV per atom

```
data_K4Mn3F10
_cell_length_a 4.257
_cell_length_b 4.257
_cell_length_c 30.384
_cell_angle_alpha 90.00
_cell_angle_beta 90.00
_cell_angle_gamma 90.00
_space_group_name_H-M_alt 'I 4/m m m'
_space_group_IT_number 139
_space_group_name_Hall '-I 4 2'
loop_
_atom_site_label
_atom_site_type_symbol
_atom_site_fract_x
_atom_site_fract_y
_atom_site_fract_z
K1 K 0.000 0.000 0.069
K2 K 0.000 0.000 0.204
Mn1 Mn 0.000 0.000 0.359
Mn2 Mn 0.000 0.000 0.500
F1 F 0.000 0.000 0.289
F2 F 0.000 0.000 0.430
F3 F 0.000 0.500 0.000
F4 F 0.000 0.500 0.140
```

No. 3
The following is a DFT calculation (GGA+U) of a geometry-optimized K4MnF6 structure.

## Properties
Volume   1188.65 Å³/cell
Magnetization   5.00 μB per formula unit
Mass density   2.7 Mg/m³
VASP energy   -4.839 eV per atom

```
data_K4MnF6
_cell_length_a 10.3546
_cell_length_b 10.3546
_cell_length_c 12.8013
_cell_angle_alpha 90.00
_cell_angle_beta 90.00
_cell_angle_gamma 120.00
_space_group_name_H-M_alt 'R -3 c'
_space_group_IT_number 167
_space_group_name_Hall '-R 3 2"c'
loop_
_atom_site_label
_atom_site_type_symbol
_atom_site_fract_x
_atom_site_fract_y
_atom_site_fract_z
K1 K 0.0000 0.0000 0.2500
K2 K 0.0000 0.3623 0.2500
Mn1 Mn 0.0000 0.0000 0.0000
F1 F 0.0267 0.1814 0.4019
```